Here is NaIn9Rh2 after structural relaxation from Alexandria via LeMat-Bulk. Energies are from PBE. Values from VASP.

Quantum ESPRESSO input file:
```
&SYSTEM
  ibrav = 0, nat = 24, ntyp = 3
/
ATOMIC_SPECIES
In 114.82 In.upf
Rh 102.91 Rh.upf
Na 22.99 Na.upf
ATOMIC_POSITIONS crystal
In 0.429 0.806 0.435
In 0.614 0.306 0.065
In 0.136 0.435 0.194
In 0.079 0.306 0.935
In 0.000 0.000 0.000
In 0.765 0.806 0.565
In 0.136 0.194 0.435
In 0.079 0.935 0.306
In 0.671 0.194 0.565
In 0.985 0.694 0.935
In 0.321 0.065 0.694
In 0.750 0.500 0.500
In 0.765 0.565 0.806
In 0.429 0.435 0.806
In 0.671 0.565 0.194
In 0.321 0.694 0.065
In 0.985 0.935 0.694
In 0.614 0.065 0.306
Rh 0.875 0.250 0.250
Rh 0.375 0.750 0.750
Rh 0.875 0.750 0.250
Rh 0.875 0.250 0.750
Na 0.500 0.000 0.000
Na 0.250 0.500 0.500
CELL_PARAMETERS angstrom
6.724 0.000 3.096
3.362 8.720 1.548
-0.285 0.000 9.469
```

Values from the calculation:
Total DFT energy (no corrections)   -0.25700 Ry per atom
E_form   -124.6 kJ/mol of formula units
Crystal system   tetragonal
Magnetization   0.000 μB/f.u.

---

Here is NaIn5Rh6 after structural relaxation from Alexandria via LeMat-Bulk. Energies are from PBE. Values from VASP.

Quantum ESPRESSO input file:
```
&SYSTEM
  ibrav = 0, nat = 12, ntyp = 3
/
ATOMIC_SPECIES
Rh 102.91 Rh.upf
In 114.82 In.upf
Na 22.99 Na.upf
ATOMIC_POSITIONS crystal
Rh 0.172 0.914 0.343
Rh 0.500 0.736 0.000
Rh 0.828 0.571 0.657
Rh 0.172 0.429 0.343
Rh 0.500 0.264 0.000
Rh 0.828 0.086 0.657
In 0.342 0.842 0.684
In 0.658 0.158 0.316
In 0.000 0.500 0.000
In 0.669 0.669 0.337
In 0.331 0.331 0.663
Na 0.000 0.000 0.000
CELL_PARAMETERS angstrom
-2.210 1.661 -3.633
-4.578 -4.520 0.717
-0.137 5.653 5.537
```

Values from the calculation:
Total DFT energy (no corrections)   -0.38800 Ry per atom
E_form   -408.0 kJ/mol of formula units
Crystal system   orthorhombic
Magnetization   0.000 μB/f.u.

---

Here is NaInRh after structural relaxation from Alexandria via LeMat-Bulk. Energies are from PBE. Values from VASP.

Quantum ESPRESSO input file:
```
&SYSTEM
  ibrav = 0, nat = 24, ntyp = 3
/
ATOMIC_SPECIES
In 114.82 In.upf
Na 22.99 Na.upf
Rh 102.91 Rh.upf
ATOMIC_POSITIONS crystal
In 0.298 0.000 0.500
In 0.798 0.000 0.000
In 0.702 0.000 0.500
In 0.702 0.500 0.000
In 0.202 0.500 0.500
In 0.298 0.500 0.000
In 0.798 0.500 0.500
In 0.202 0.000 0.000
Na 0.000 0.189 0.500
Na 0.500 0.311 0.500
Na 0.000 0.689 0.000
Na 0.000 0.811 0.500
Na 0.500 0.189 0.000
Na 0.500 0.811 0.000
Na 0.000 0.311 0.000
Na 0.500 0.689 0.500
Rh 0.750 0.250 0.750
Rh 0.750 0.250 0.250
Rh 0.250 0.750 0.750
Rh 0.750 0.750 0.250
Rh 0.250 0.250 0.750
Rh 0.750 0.750 0.750
Rh 0.250 0.250 0.250
Rh 0.250 0.750 0.250
CELL_PARAMETERS angstrom
-9.144 3.307 -3.357
0.391 -5.538 -6.518
-2.779 -4.216 3.415
```

Values from the calculation:
Total DFT energy (no corrections)   -0.29293 Ry per atom
E_form   -52.8 kJ/mol of formula units
Crystal system   orthorhombic
Magnetization   0.000 μB/f.u.

---

Here is NaIn2Rh2 after structural relaxation from Alexandria via LeMat-Bulk. Energies are from PBE. Values from VASP.

Quantum ESPRESSO input file:
```
&SYSTEM
  ibrav = 0, nat = 10, ntyp = 3
/
ATOMIC_SPECIES
Na 22.99 Na.upf
In 114.82 In.upf
Rh 102.91 Rh.upf
ATOMIC_POSITIONS crystal
Na 0.500 0.500 0.000
Na 0.000 0.000 0.000
In 0.157 0.657 0.500
In 0.843 0.343 0.500
In 0.343 0.157 0.500
In 0.657 0.843 0.500
Rh 0.362 0.862 0.000
Rh 0.862 0.638 0.000
Rh 0.638 0.138 0.000
Rh 0.138 0.362 0.000
CELL_PARAMETERS angstrom
-3.373 -1.352 6.891
4.313 -6.432 0.849
2.213 1.670 1.411
```

Values from the calculation:
Total DFT energy (no corrections)   -0.33920 Ry per atom
E_form   -152.1 kJ/mol of formula units
Crystal system   tetragonal
Magnetization   0.000 μB/f.u.
Distance to the lowest polymorph of the same formula   0.000 eV/atom